# 1
{
  "formula": "Ca2Mg2Cd",
  "functional": "PBE",
  "state": "relaxed",
  "formation_enthalpy_0k_mev_per_atom": -2,
  "total_energy_ev_per_cell": -8.12,
  "space_group": "I4/mmm (139)",
  "lattice_angstrom": [[-3.846, 0.686, 1.133], [-1.296, -2.666, -2.785], [-1.933, -7.975, 5.565]],
  "species": ["Ca", "Ca", "Mg", "Mg", "Cd"],
  "fractional_positions": [[0.404, 0.404, 0.192], [0.596, 0.596, 0.808], [0.750, 0.250, 0.500], [0.250, 0.750, 0.500], [0.000, 0.000, 0.000]]
}

---

# 2
{
  "formula": "VAsW3",
  "functional": "PBE",
  "state": "relaxed",
  "formation_enthalpy_0k_mev_per_atom": 1603,
  "total_energy_ev_per_cell": -44.61,
  "space_group": "Pm-3m (221)",
  "lattice_angstrom": [[-4.546, -0.574, -0.057], [0.318, -2.873, 3.556], [-0.481, 3.524, 2.890]],
  "species": ["As", "W", "W", "W", "V"],
  "fractional_positions": [[0.000, 0.000, 0.000], [0.000, 0.500, 0.000], [0.000, 0.000, 0.500], [0.500, 0.000, 0.000], [0.500, 0.500, 0.500]]
}

---

# 3
{
  "formula": "Ba8As4N",
  "functional": "PBE",
  "state": "relaxed",
  "total_energy_ev_per_cell": -52.25,
  "formation_energy_uncorrected_ev_per_atom": -0.76,
  "space_group": "I4/mmm (139)",
  "lattice_angstrom": [[7.567, 0.000, 3.996], [3.784, 7.765, 1.998], [0.158, 0.000, 8.864]],
  "species": ["Ba", "Ba", "Ba", "Ba", "Ba", "Ba", "Ba", "Ba", "As", "As", "As", "As", "N"],
  "fractional_positions": [[0.229, 0.771, 0.771], [0.771, 0.229, 0.229], [0.000, 0.771, 0.229], [0.000, 0.229, 0.771], [0.246, 0.254, 0.254], [0.754, 0.746, 0.746], [0.500, 0.254, 0.746], [0.500, 0.746, 0.254], [0.000, 0.500, 0.000], [0.500, 0.500, 0.000], [0.500, 0.000, 0.500], [0.000, 0.000, 0.500], [0.000, 0.000, 0.000]]
}

---

# 4
{
  "formula": "YMgTl",
  "functional": "PBE",
  "state": "relaxed",
  "formation_enthalpy_0k_mev_per_atom": 18,
  "total_energy_ev_per_cell": -10.37,
  "space_group": "F-43m (216)",
  "lattice_angstrom": [[-2.909, -3.867, -0.843], [1.151, -4.393, 1.870], [-2.685, -1.895, 3.649]],
  "species": ["Mg", "Tl", "Y"],
  "fractional_positions": [[0.750, 0.750, 0.750], [0.000, 0.000, 0.000], [0.500, 0.500, 0.500]]
}

---

# 5
{
  "formula": "Ho2AsPb",
  "functional": "PBE",
  "state": "relaxed",
  "formation_enthalpy_0k_mev_per_atom": -875,
  "total_energy_ev_per_cell": -21.01,
  "space_group": "P-3m1 (164)",
  "lattice_angstrom": [[-2.073, -3.312, -0.043], [1.270, -3.126, 1.972], [-4.180, 2.529, 6.702]],
  "species": ["Ho", "Ho", "As", "Pb"],
  "fractional_positions": [[0.667, 0.667, 0.204], [0.333, 0.333, 0.796], [0.000, 0.000, 0.000], [0.000, 0.000, 0.500]]
}

---

# 6
{
  "formula": "Zr2CdTcH",
  "functional": "PBE",
  "state": "relaxed",
  "total_energy_ev_per_cell": -32.69,
  "space_group": "P4/mmm (123)",
  "lattice_angstrom": [[4.623, 0.000, 0.000], [0.000, 4.623, 0.000], [0.000, 0.000, 3.784]],
  "species": ["H", "Tc", "Zr", "Zr", "Cd"],
  "fractional_positions": [[0.000, 0.000, 0.000], [0.000, 0.000, 0.500], [0.000, 0.500, 0.000], [0.500, 0.000, 0.000], [0.500, 0.500, 0.500]]
}

---

# 7
{
  "formula": "Zr2Ga2Au",
  "functional": "PBE",
  "state": "relaxed",
  "formation_enthalpy_0k_mev_per_atom": -542,
  "total_energy_ev_per_cell": -29.14,
  "space_group": "Immm (71)",
  "lattice_angstrom": [[3.948, 0.000, 0.000], [1.974, 5.087, 0.129], [1.974, 1.805, 4.758]],
  "species": ["Zr", "Zr", "Ga", "Ga", "Au"],
  "fractional_positions": [[0.789, 0.711, 0.711], [0.211, 0.289, 0.289], [0.500, 0.716, 0.284], [0.500, 0.284, 0.716], [0.000, 0.000, 0.000]]
}

---

# 8
{
  "formula": "CeZn3Co",
  "functional": "PBE",
  "state": "relaxed",
  "formation_enthalpy_0k_mev_per_atom": -309,
  "total_energy_ev_per_cell": -36.81,
  "space_group": "P2_1/m (11)",
  "lattice_angstrom": [[5.461, 0.657, 0.000], [0.490, 4.761, 0.000], [0.000, 0.000, 6.612]],
  "species": ["Ce", "Ce", "Zn", "Zn", "Zn", "Zn", "Zn", "Zn", "Co", "Co"],
  "fractional_positions": [[0.339, 0.659, 0.250], [0.661, 0.341, 0.750], [0.801, 0.844, 0.446], [0.199, 0.156, 0.554], [0.801, 0.844, 0.054], [0.199, 0.156, 0.946], [0.904, 0.305, 0.250], [0.096, 0.695, 0.750], [0.455, 0.195, 0.250], [0.545, 0.805, 0.750]]
}